Density functional theory data (GGA-PBE) for crystalline Ta2BeP at its relaxed geometry.

The structure in extended XYZ format:
```
4
Lattice="-2.165 -3.469 -1.548 0.150 -3.806 2.146 -3.547 -1.474 2.089" Properties=species:S:1:pos:R:3 pbc="T T T"
Ta -4.171 -6.562 2.015
Ta 0.000 0.000 0.000
P -1.390 -2.187 0.672
Be -2.781 -4.375 1.343
```

## Properties
Its formation energy is 1.74 eV per formula unit. Its space-group type is F-43m (216).